CsAg2MoS4 | Alexandria | PBE-GGA | relaxed; raw formation energy = -0.4673 eV/atom; SG = I-42m (121); total DFT energy (no corrections) = -0.1729 hartree per atom; V = 213.0 Å³/f.u.
1.0
-3.419 3.419 4.555
3.419 -3.419 4.555
3.419 3.419 -4.555
Cs Ag Mo S
1 2 1 4
Cartesian
0.000 0.000 0.000 Cs
3.419 0.000 2.278 Ag
0.000 3.419 2.278 Ag
0.000 0.000 4.555 Mo
2.160 2.160 -1.364 S
1.260 -1.260 5.919 S
1.260 1.260 3.191 S
-1.260 1.260 5.919 S